Material: Tb2CoSi4Pt3
Method: DFT, GGA-PBE
State: relaxed

Cell: 4.119 4.119 9.946 Å, 90.00 90.00 90.00°
Each line ends with the local moment (μB).
Fractional positions:
Pt 0.000 0.000 0.500  0.08
Si 0.000 0.500 0.373  0.00
Co 0.500 0.500 0.500  0.76
Si 0.000 0.000 0.000  0.00
Tb 0.000 0.500 0.747  0.00
Pt 0.500 0.000 0.871  -0.01
Tb 0.500 0.000 0.253  0.00
Pt 0.000 0.500 0.129  -0.01
Si 0.500 0.000 0.627  0.00
Si 0.500 0.500 0.000  0.00

Spin magnetization (μB/cell): 0.8
Formation energy (no corrections) (eV per atom): -1.03
E (eV per atom): -6.6455
DOS at the Fermi energy (states/eV per cell): 3.79

***

Material: Tb2CoSi3Pt4
Method: DFT, GGA-PBE
State: relaxed

Cell: 4.178 4.178 9.963 Å, 90.00 90.00 90.00°
Each line ends with the local moment (μB).
Fractional positions:
Si 0.000 0.000 0.500  0.03
Tb 0.500 0.000 0.257  -0.01
Pt 0.500 0.000 0.631  0.11
Co 0.500 0.500 0.500  1.65
Pt 0.000 0.500 0.369  0.11
Si 0.000 0.500 0.134  0.00
Pt 0.500 0.500 0.000  0.01
Tb 0.000 0.500 0.743  -0.01
Si 0.500 0.000 0.866  0.00
Pt 0.000 0.000 0.000  0.01

Spin magnetization (μB/cell): 1.9
Formation energy (no corrections) (eV per atom): -0.97
E (eV per atom): -6.6452
DOS at the Fermi energy (states/eV per cell): 8.03

***

Material: Th2CoSi3Pt12
Method: DFT, GGA-PBE
State: relaxed

Cell: 7.698 7.698 7.698 Å, 64.20 64.20 64.20°
Each line ends with the local moment (μB).
Fractional positions:
Pt 0.873 0.370 0.873  0.03
Pt 0.360 0.891 0.360  -0.01
Pt 0.891 0.360 0.360  -0.01
Pt 0.360 0.360 0.891  -0.01
Co 0.000 0.000 0.000  1.74
Pt 0.873 0.873 0.370  0.03
Pt 0.640 0.640 0.109  -0.01
Th 0.380 0.380 0.380  -0.03
Si 0.000 0.000 0.500  0.00
Si 0.000 0.500 0.000  0.00
Si 0.500 0.000 0.000  0.00
Pt 0.127 0.630 0.127  0.03
Th 0.620 0.620 0.620  -0.03
Pt 0.640 0.109 0.640  -0.01
Pt 0.127 0.127 0.630  0.03
Pt 0.109 0.640 0.640  -0.01
Pt 0.370 0.873 0.873  0.03
Pt 0.630 0.127 0.127  0.03

Spin magnetization (μB/cell): 1.7
Formation energy (no corrections) (eV per atom): -0.51
E (eV per atom): -6.6578
DOS at the Fermi energy (states/eV per cell): 12.26

***

Material: U2Co4Si3Pt
Method: DFT, GGA-PBE
State: relaxed

Cell: 3.696 3.696 10.656 Å, 90.00 90.00 90.00°
Fractional positions:
Co 0.000 0.000 0.000
U 0.000 0.500 0.749
Co 0.500 0.500 0.000
Pt 0.500 0.500 0.500
Co 0.000 0.500 0.329
Si 0.000 0.500 0.118
U 0.500 0.000 0.251
Si 0.000 0.000 0.500
Si 0.500 0.000 0.882
Co 0.500 0.000 0.671

Spin magnetization (μB/cell): 0.0
Formation energy (no corrections) (eV per atom): -0.57
E (eV per atom): -7.9008
DOS at the Fermi energy (states/eV per cell): 5.65